# 1
Here is LiCu6 after structural relaxation from Alexandria via LeMat-Bulk. Energies are from GGA-PBE.

Cell: 5.625 5.625 5.625 Å, 109.47 109.47 109.47°
Sites, in units of the cell vectors:
1 Li 0.000 0.000 0.000
2 Cu 0.250 0.500 0.750
3 Cu 0.250 0.750 0.500
4 Cu 0.500 0.250 0.750
5 Cu 0.500 0.750 0.250
6 Cu 0.750 0.250 0.500
7 Cu 0.750 0.500 0.250

Results
- ΔH_f (0 K): 4.68 eV/f.u.
- Symmetry: Im-3m
- Crystal system: cubic
- Energy above the lowest structure with this stoichiometry: 602 meV per atom

# 2
Here is LiCu3 after structural relaxation from Alexandria via LeMat-Bulk. Energies are from GGA-PBE.

Cell: 2.541 4.263 4.481 Å, 90.00 90.00 90.00°
Sites, in units of the cell vectors:
1 Li 0.000 0.000 0.000
2 Cu 0.000 0.500 0.670
3 Cu 0.500 0.000 0.502
4 Cu 0.500 0.500 0.174

Results
- ΔH_f (0 K): -0.16 eV/f.u.
- Symmetry: Pmm2
- Crystal system: orthorhombic

# 3
Here is LiCu3 after structural relaxation from Alexandria via LeMat-Bulk. Energies are from GGA-PBE.

Cell: 2.587 2.587 8.494 Å, 90.00 90.00 120.00°
Sites, in units of the cell vectors:
1 Li 0.000 0.000 0.000
2 Cu 0.000 0.000 0.500
3 Cu 0.333 0.667 0.254
4 Cu 0.333 0.667 0.746

Results
- ΔH_f (0 K): 0.02 eV/f.u.
- Symmetry: P-6m2
- Crystal system: hexagonal